Entry 1:
Density functional theory data (SCAN) for a PBEsol-optimized structure of RbInW2O8.

For the raw formation energy, the calculation gives -2190 meV per atom. The total magnetic moment comes out at 0.000 μB/f.u. The calculation puts the density of states at the Fermi level at 0.0 states/eV/f.u.

```
data_RbInW2O8
_chemical_formula_sum 'Rb1 In1 W2 O8'
_cell_length_a 5.8840
_cell_length_b 5.8840
_cell_length_c 7.5719
_cell_angle_alpha 90.00
_cell_angle_beta 90.00
_cell_angle_gamma 120.00
_symmetry_space_group_name_H-M 'P -3 m 1'
_symmetry_Int_Tables_number 164
_symmetry_space_group_name_Hall '-P 3 2"'
loop_
_atom_site_label
_atom_site_type_symbol
_atom_site_fract_x
_atom_site_fract_y
_atom_site_fract_z
_atom_site_occupancy
Rb1 Rb 0.0000 0.0000 0.0000 1
In1 In 0.0000 0.0000 0.5000 1
W1 W 0.3333 0.6667 0.7444 1
O1 O 0.1655 0.3311 0.6713 1
O2 O 0.3333 0.6667 0.9758 1
```

Entry 2:
Density functional theory data (SCAN) for a PBEsol-optimized structure of KOsW.

The total magnetic moment comes out at 0.000 μB/f.u. The calculation puts the density of states at the Fermi level at 2.0 states/eV/f.u. The calculation puts the formation energy at 1.04 eV/atom.

```
data_KOsW
_chemical_formula_sum 'K4 Os4 W4'
_cell_length_a 2.946
_cell_length_b 4.621
_cell_length_c 16.291
_cell_angle_alpha 90.00
_cell_angle_beta 90.00
_cell_angle_gamma 90.00
_symmetry_space_group_name_H-M 'F m m 2'
_symmetry_Int_Tables_number 42
_symmetry_space_group_name_Hall 'F 2 -2'
loop_
_atom_site_label
_atom_site_type_symbol
_atom_site_fract_x
_atom_site_fract_y
_atom_site_fract_z
_atom_site_occupancy
K1 K 0.000 0.000 0.000 1
Os1 Os 0.000 0.000 0.325 1
W1 W 0.000 0.000 0.694 1
```

Question: What is the total magnetic moment in the first record?
Answer: 0.000 μB/f.u.